(1)
The following is a PBE calculation of a relaxed structure of YErAsO2, from Alexandria via LeMat-Bulk.

Summary:
DOS at the Fermi energy (states/eV/atom): 0.397
Calculated total energy (eV per atom): -7.80
Uncorrected formation energy (eV per atom): -2.68
Magnetization (μB per formula unit): 0.00

a = 3.7816 Å, b = 3.7816 Å, c = 6.9374 Å
α = 105.82°, β = 105.82°, γ = 90.00°
Fractional positions:
Er (0.1618, 0.1618, 0.3237)
O (0.2486, 0.7486, 0.4972)
O (0.7486, 0.2486, 0.4972)
As (0.5007, 0.5007, 0.0014)
Y (0.8403, 0.8403, 0.6805)

(2)
The following is a PBE calculation of a relaxed structure of Er2ZnAs2O, from Alexandria via LeMat-Bulk.

Summary:
DOS at the Fermi energy (states/eV/atom): 0.574
Calculated total energy (eV per atom): -4.53
Uncorrected formation energy (eV per atom): -0.42
Magnetization (μB per formula unit): 0.00

a = 3.3014 Å, b = 3.3014 Å, c = 14.5340 Å
α = 90.00°, β = 90.00°, γ = 90.00°
Fractional positions:
Er (0.5000, 0.5000, 0.3631)
Er (0.5000, 0.5000, 0.6369)
Zn (0.5000, 0.5000, 0.0000)
As (0.5000, 0.5000, 0.1615)
As (0.5000, 0.5000, 0.8385)
O (0.5000, 0.5000, 0.5000)

(3)
The following is a PBE calculation of a relaxed structure of ErZn2AsO6, from Alexandria via LeMat-Bulk.

Summary:
DOS at the Fermi energy (states/eV/atom): 0.000
Calculated total energy (eV per atom): -6.00
Uncorrected formation energy (eV per atom): -1.85
Magnetization (μB per formula unit): 0.00

a = 6.7992 Å, b = 7.0466 Å, c = 7.0466 Å
α = 73.00°, β = 70.78°, γ = 70.78°
Fractional positions:
Er (0.2500, 0.7675, 0.2325)
Er (0.7500, 0.2325, 0.7675)
O (0.5263, 0.7861, 0.3301)
O (0.2647, 0.1340, 0.0921)
O (0.3748, 0.4418, 0.2545)
O (0.2353, 0.9079, 0.8660)
O (0.1252, 0.7455, 0.5582)
O (0.6252, 0.5582, 0.7455)
O (0.8748, 0.2545, 0.4418)
O (0.9737, 0.6699, 0.2139)
O (0.4737, 0.2139, 0.6699)
O (0.7647, 0.0921, 0.1340)
O (0.7353, 0.8660, 0.9079)
O (0.0263, 0.3301, 0.7861)
As (0.2500, 0.1526, 0.8474)
As (0.7500, 0.8474, 0.1526)
Zn (0.6300, 0.2854, 0.3417)
Zn (0.8700, 0.6583, 0.7146)
Zn (0.1300, 0.3417, 0.2854)
Zn (0.3700, 0.7146, 0.6583)

(4)
The following is a PBE calculation of a relaxed structure of ErZrAsO2, from Alexandria via LeMat-Bulk.

Summary:
DOS at the Fermi energy (states/eV/atom): 0.247
Calculated total energy (eV per atom): -8.10
Uncorrected formation energy (eV per atom): -2.56
Magnetization (μB per formula unit): 0.00

a = 3.6809 Å, b = 3.6809 Å, c = 6.4506 Å
α = 106.58°, β = 106.58°, γ = 90.00°
Fractional positions:
Er (0.1486, 0.1486, 0.2972)
As (0.4917, 0.4917, 0.9834)
Zr (0.8496, 0.8496, 0.6991)
O (0.7551, 0.2551, 0.5102)
O (0.2551, 0.7551, 0.5102)

(5)
The following is a PBE calculation of a relaxed structure of ErAs12Os4, from Alexandria via LeMat-Bulk.

Summary:
DOS at the Fermi energy (states/eV/atom): 0.858
Calculated total energy (eV per atom): -6.48
DFT formation energy (eV per atom): -0.2897
Magnetization (μB per formula unit): 0.00

a = 7.4615 Å, b = 7.4615 Å, c = 7.4615 Å
α = 109.47°, β = 109.47°, γ = 109.47°
Fractional positions:
As (0.5059, 0.8518, 0.6541)
As (0.1482, 0.3459, 0.4941)
As (0.3459, 0.1977, 0.8518)
As (0.8518, 0.6541, 0.5059)
As (0.8518, 0.3459, 0.1977)
As (0.1977, 0.8518, 0.3459)
As (0.4941, 0.1482, 0.3459)
As (0.6541, 0.5059, 0.8518)
As (0.1482, 0.6541, 0.8023)
As (0.6541, 0.8023, 0.1482)
As (0.8023, 0.1482, 0.6541)
As (0.3459, 0.4941, 0.1482)
Os (0.0000, 0.5000, 0.0000)
Os (0.0000, 0.0000, 0.5000)
Os (0.5000, 0.0000, 0.0000)
Os (0.5000, 0.5000, 0.5000)
Er (0.0000, 0.0000, 0.0000)

(6)
The following is a PBE calculation of a relaxed structure of Er2AsP, from Alexandria via LeMat-Bulk.

Summary:
DOS at the Fermi energy (states/eV/atom): 0.098
Calculated total energy (eV per atom): -6.21
DFT formation energy (eV per atom): -1.4172
Magnetization (μB per formula unit): 0.00

a = 3.9910 Å, b = 3.9910 Å, c = 7.1998 Å
α = 73.91°, β = 73.91°, γ = 60.00°
Fractional positions:
Er (0.0787, 0.0787, 0.7638)
Er (0.2542, 0.2542, 0.2373)
P (0.6681, 0.6681, 0.9958)
As (0.4989, 0.4989, 0.5032)

(7)
The following is a PBE calculation of a relaxed structure of Er6AsP5, from Alexandria via LeMat-Bulk.

Summary:
DOS at the Fermi energy (states/eV/atom): 0.101
Calculated total energy (eV per atom): -6.52
DFT formation energy (eV per atom): -1.5951
Magnetization (μB per formula unit): 0.00

a = 6.9046 Å, b = 6.9091 Å, c = 6.9064 Å
α = 59.99°, β = 80.40°, γ = 70.52°
Fractional positions:
Er (0.7476, 0.4220, 0.6621)
Er (0.2524, 0.5780, 0.3379)
Er (0.7478, 0.7462, 0.0000)
Er (0.2524, 0.9159, 0.6621)
Er (0.2522, 0.2538, 0.0000)
Er (0.7476, 0.0841, 0.3379)
P (0.0000, 0.6667, 0.6665)
P (0.5000, 0.5000, 0.0000)
P (0.5000, 0.1657, 0.6686)
P (0.0000, 0.3333, 0.3335)
P (0.5000, 0.8343, 0.3314)
As (0.0000, 0.0000, 0.0000)

(8)
The following is a PBE calculation of a relaxed structure of Er4AsP3, from Alexandria via LeMat-Bulk.

Summary:
DOS at the Fermi energy (states/eV/atom): 0.124
Calculated total energy (eV per atom): -6.48
DFT formation energy (eV per atom): -1.5854
Magnetization (μB per formula unit): 0.00

a = 3.9960 Å, b = 6.9222 Å, c = 6.9222 Å
α = 70.54°, β = 90.00°, γ = 90.00°
Fractional positions:
As (0.5000, 0.5001, 0.0000)
Er (0.0000, 0.2454, 0.2547)
Er (0.0000, 0.7548, 0.7453)
Er (0.5000, 0.2478, 0.7476)
Er (0.4999, 0.7525, 0.2523)
P (0.0000, 0.0001, 0.0000)
P (0.0000, 0.5001, 0.5000)
P (0.5000, 0.0001, 0.5000)

Q: Which formula does entry 1 have?
A: YErAsO2